A plane-wave DFT calculation with PBE was carried out for a relaxed MnAs2Pb crystal.

Summary:
N(E_F): 2.684 states/eV/f.u.
Density: 7.9 g/cm3
Formation energy from the elements: 198 meV/atom
E above lowest polymorph: 0.2446 eV/atom

Cell: 5.9029 5.9029 5.9029 Å, 149.50 122.47 66.52°
Fractional coordinates of all 4 atoms:
Mn (0.0000, 0.0000, 0.0000)
As (0.1914, 0.6914, 0.5000)
As (0.8086, 0.3086, 0.5000)
Pb (0.5000, 0.5000, 0.0000)